No. 1
# Ca2CoBiBr

A crystal of Ca2CoBiBr relaxed with PBEsol (SCAN, Alexandria via LeMat-Bulk).

Summary:
magnetization	0.41	μB per atom
formation energy without anion corrections	0.28	eV/atom

Unit cell a=5.755 b=5.977 c=5.977 alpha=90.00 beta=90.00 gamma=90.00
Each line ends with the local moment (μB).
Fractional positions:
1 Co 0.500 0.500 0.500  2.03
2 Br 0.500 0.000 0.000  0.00
3 Ca 0.000 0.500 0.000  -0.01
4 Ca 0.000 0.000 0.500  -0.01
5 Bi 0.000 0.000 0.000  0.01



No. 2
# CdBiBrO2

A crystal of CdBiBrO2 relaxed with PBEsol (SCAN, Alexandria via LeMat-Bulk).

Summary:
magnetization	0.00	μB per atom
formation energy without anion corrections	-1.11	eV/atom

Unit cell a=3.905 b=3.905 c=6.743 alpha=106.82 beta=106.82 gamma=90.00
Fractional positions:
1 Br 0.515 0.515 0.029
2 O 0.248 0.748 0.495
3 Cd 0.155 0.155 0.310
4 Bi 0.835 0.835 0.670
5 O 0.748 0.248 0.495